# AsIrRhBr2

A geometry-optimized AsIrRhBr2 structure (PBE-GGA, Alexandria).

a = 5.1994 Å, b = 4.6463 Å, c = 5.1994 Å
α = 90.00°, β = 90.00°, γ = 90.00°
Closest atoms and distances in Å follow each position.
Fractional positions:
Br 0.0000 0.0000 0.5000  2 As 2.60
Rh 0.0000 0.5000 0.0000  2 As 2.32
Ir 0.5000 0.5000 0.5000  8 Br 3.49, 4 Rh 3.68
Br 0.5000 0.0000 0.0000  2 As 2.60
As 0.0000 0.0000 0.0000  2 Rh 2.32, 4 Br 2.60

## Properties
E: -17.17 eV for the cell shown
M_tot: 1.8 μB per cell
Polymorph energy (0 for the lowest one): 489 meV/atom

=====

# Nd2PaCo3H12

A geometry-optimized Nd2PaCo3H12 structure (PBE-GGA, Alexandria).

a = 6.0000 Å, b = 6.0000 Å, c = 6.0000 Å
α = 62.98°, β = 62.98°, γ = 62.98°
Closest atoms and distances in Å follow each position.
Fractional positions:
H 0.1344 0.1344 0.5668  1 Co 1.62
H 0.5668 0.1344 0.1344  1 Co 1.62
H 0.7258 0.1201 0.7258  2 Co 1.69
H 0.8799 0.2742 0.2742  2 Co 1.69
H 0.2742 0.8799 0.2742  2 Co 1.69
Co 0.0000 0.5000 0.0000  6 H 1.62-1.69
Pa 0.0000 0.0000 0.0000  6 H 2.20
H 0.8656 0.8656 0.4332  1 Co 1.62
Co 0.0000 0.0000 0.5000  6 H 1.62-1.69
Nd 0.3858 0.3858 0.3858  3 H 2.19
H 0.8656 0.4332 0.8656  1 Co 1.62
H 0.4332 0.8656 0.8656  1 Co 1.62
H 0.1201 0.7258 0.7258  2 Co 1.69
H 0.1344 0.5668 0.1344  1 Co 1.62
H 0.2742 0.2742 0.8799  2 Co 1.69
Co 0.5000 0.0000 0.0000  6 H 1.62-1.69
Nd 0.6142 0.6142 0.6142  3 H 2.19
H 0.7258 0.7258 0.1201  2 Co 1.69

## Properties
E: -84.70 eV for the cell shown
M_tot: 3.5 μB per cell

=====

# KCeNb2O6

A geometry-optimized KCeNb2O6 structure (PBE-GGA, Alexandria).

a = 5.7539 Å, b = 5.7539 Å, c = 5.7539 Å
α = 60.00°, β = 60.00°, γ = 60.00°
Closest atoms and distances in Å follow each position.
Fractional positions:
Ce 0.5000 0.5000 0.5000  12 O 2.88
Nb 0.7500 0.7500 0.7500  6 O 2.03
K 0.0000 0.0000 0.0000  12 O 2.88
O 0.5000 0.0000 0.5000  2 Nb 2.03
Nb 0.2500 0.2500 0.2500  6 O 2.03
O 0.0000 0.5000 0.0000  2 Nb 2.03
O 0.0000 0.0000 0.5000  2 Nb 2.03
O 0.5000 0.0000 0.0000  2 Nb 2.03
O 0.0000 0.5000 0.5000  2 Nb 2.03
O 0.5000 0.5000 0.0000  2 Nb 2.03

## Properties
E: -82.74 eV for the cell shown
M_tot: 1.0 μB per cell